## NaCd6Ag12 (PBE)

Data for a geometry-optimized NaCd6Ag12 structure.

Geometry as extended XYZ:
```
19
Lattice="7.418 0.026 -2.333 -3.186 6.699 -2.333 0.016 0.026 7.776" Properties=species:S:1:pos:R:3 pbc="T T T"
Na 0.000 0.000 0.000
Cd -0.009 1.328 2.993
Cd 4.284 3.606 4.022
Cd 1.032 6.184 2.869
Cd 4.256 5.423 0.117
Cd -0.037 3.144 -0.912
Cd 3.216 0.567 0.241
Ag 2.962 1.275 3.017
Ag -0.482 3.951 1.912
Ag 2.836 3.222 -1.037
Ag 1.286 5.475 0.093
Ag 4.730 2.800 1.198
Ag 1.412 3.529 4.147
Ag 1.603 0.971 5.530
Ag -1.079 4.885 4.607
Ag 5.863 1.141 3.252
Ag 2.645 5.780 -2.420
Ag 5.327 1.865 -1.497
Ag -1.616 5.609 -0.142
```

Summary:
ρ   8.5 g/cm3
DOS(E_F)   7.26 states/eV/f.u.
Calculated formation energy   28 meV per atom
Relative energy among the computed polymorphs   6 meV per atom
Crystal system   trigonal

=====

## KNbInF6 (PBE)

Data for a geometry-optimized KNbInF6 structure.

Geometry as extended XYZ:
```
18
Lattice="6.726 0.000 0.000 -3.363 5.825 0.000 0.000 0.000 8.673" Properties=species:S:1:pos:R:3 pbc="T T T"
K 0.000 3.883 2.168
K 3.363 1.942 6.505
Nb 3.363 1.942 2.168
Nb 0.000 3.883 6.505
In 0.000 0.000 0.000
In 0.000 0.000 4.337
F 2.504 3.448 1.134
F 5.096 1.932 1.134
F -0.875 5.380 5.471
F -1.734 3.893 7.539
F 1.629 1.932 3.202
F 4.222 3.448 3.202
F 0.875 5.380 7.539
F 4.238 0.445 3.202
F -0.859 2.377 5.471
F 2.488 0.445 1.134
F 1.734 3.893 5.471
F 0.859 2.377 7.539
```

Summary:
ρ   3.5 g/cm3
DOS(E_F)   2.33 states/eV/f.u.
ΔE_f (raw)   -2.66 eV/atom
Crystal system   trigonal

=====

## Ta3V2Co4 (PBE)

Data for a geometry-optimized Ta3V2Co4 structure.

Geometry as extended XYZ:
```
9
Lattice="-0.400 4.080 0.678 -3.649 -2.793 1.923 6.264 -0.055 4.027" Properties=species:S:1:pos:R:3 pbc="T T T"
Ta 3.150 1.801 3.757
Ta 0.000 0.000 0.000
Ta -0.935 -0.568 2.871
V 0.532 1.753 2.499
V 1.683 -0.521 4.129
Co -1.531 1.684 1.698
Co 3.746 -0.452 4.930
Co 0.324 1.351 4.798
Co 1.891 -0.119 1.830
```

Summary:
ρ   11.6 g/cm3
DOS(E_F)   7.22 states/eV/f.u.
Calculated formation energy   -59 meV per atom
Crystal system   monoclinic

=====

## MgGaPdF6 (PBE)

Data for a geometry-optimized MgGaPdF6 structure.

Geometry as extended XYZ:
```
18
Lattice="-4.693 1.129 2.190 0.507 -4.238 -3.142 2.395 -5.698 8.071" Properties=species:S:1:pos:R:3 pbc="T T T"
Mg -0.627 -3.873 0.653
Mg -1.163 -4.934 6.466
Ga -2.361 -2.084 2.430
Ga 0.570 -6.723 4.688
Pd 0.000 0.000 0.000
Pd 1.198 -2.849 4.036
F -2.309 -2.750 0.616
F -4.097 -1.271 2.191
F 0.330 -7.453 2.915
F 2.307 -7.536 4.927
F -0.745 -3.140 2.534
F -3.471 -3.533 3.066
F -0.369 -8.348 5.148
F -2.120 -1.354 4.203
F 1.680 -5.274 4.053
F -1.421 -0.459 1.970
F -1.045 -5.667 4.584
F 0.518 -6.057 6.502
```

Summary:
ρ   4.2 g/cm3
DOS(E_F)   6.37 states/eV/f.u.
ΔE_f (raw)   -2.38 eV/atom
Crystal system   trigonal

=====

## HfCd2Ni (PBE)

Data for a geometry-optimized HfCd2Ni structure.

Geometry as extended XYZ:
```
8
Lattice="-4.099 5.817 3.297 -4.026 0.940 -6.664 -5.841 1.654 -0.853" Properties=species:S:1:pos:R:3 pbc="T T T"
Ni -4.062 3.379 -1.684
Ni -6.965 2.987 -4.600
Hf 0.000 0.000 0.000
Hf -7.001 5.425 0.380
Cd -4.302 3.850 0.835
Cd -4.712 2.045 -3.787
Cd -7.646 3.826 -2.265
Cd -11.271 7.102 -3.224
```

Summary:
ρ   9.5 g/cm3
DOS(E_F)   2.97 states/eV/f.u.
Calculated formation energy   290 meV per atom
Relative energy among the computed polymorphs   159 meV per atom
Crystal system   tetragonal

=====

## CaNd2Te3 (PBE)

Data for a geometry-optimized CaNd2Te3 structure.

Geometry as extended XYZ:
```
6
Lattice="4.452 0.000 0.000 0.000 6.353 0.000 -2.226 -3.176 6.822" Properties=species:S:1:pos:R:3 pbc="T T T"
Ca 1.113 1.588 3.411
Nd 3.339 4.764 1.115
Nd -1.113 -1.588 5.708
Te 3.339 1.588 1.200
Te -1.113 1.588 5.622
Te 1.113 -1.588 3.411
```

Summary:
ρ   6.1 g/cm3
DOS(E_F)   2.53 states/eV/f.u.
ΔE_f (raw)   -1.48 eV/atom
Crystal system   orthorhombic

=====

## Zr3TiFe (PBE)

Data for a geometry-optimized Zr3TiFe structure.

Geometry as extended XYZ:
```
10
Lattice="-6.483 0.326 0.708 1.022 -3.886 -5.146 4.007 -2.805 4.326" Properties=species:S:1:pos:R:3 pbc="T T T"
Zr 2.861 -2.886 1.854
Zr 1.823 -4.030 -2.956
Zr 0.130 -4.666 -0.364
Zr 1.101 -1.769 -0.381
Zr -1.930 -1.924 -0.028
Zr 3.581 -5.149 -0.722
Ti -1.611 -3.531 -2.633
Ti -0.187 -3.058 2.241
Fe -3.415 0.049 0.216
Fe 4.346 -4.859 1.610
```

Summary:
ρ   6.2 g/cm3
DOS(E_F)   5.75 states/eV/f.u.
Calculated formation energy   53 meV per atom
Relative energy among the computed polymorphs   0 meV per atom
Crystal system   orthorhombic

=====

## RbPHS2 (PBE)

Data for a geometry-optimized RbPHS2 structure.

Geometry as extended XYZ:
```
5
Lattice="6.590 0.000 0.000 0.000 6.590 0.000 0.000 0.000 6.833" Properties=species:S:1:pos:R:3 pbc="T T T"
P 0.000 0.000 3.417
S 0.000 3.295 0.000
S 3.295 0.000 0.000
Rb 0.000 0.000 0.000
H 3.295 3.295 3.417
```

Summary:
ρ   1.0 g/cm3
DOS(E_F)   14.04 states/eV/f.u.
Relative energy among the computed polymorphs   1410 meV per atom
Crystal system   tetragonal

=====

## CoRhPb4 (PBE)

Data for a geometry-optimized CoRhPb4 structure.

Geometry as extended XYZ:
```
6
Lattice="0.000 4.367 4.367 4.367 0.000 4.367 4.367 4.367 0.000" Properties=species:S:1:pos:R:3 pbc="T T T"
Co 0.000 0.000 0.000
Rh 6.550 6.550 6.550
Pb 3.278 5.455 5.455
Pb 5.455 5.455 3.278
Pb 5.455 3.278 5.455
Pb 3.278 3.278 3.278
```

Summary:
ρ   9.9 g/cm3
DOS(E_F)   7.05 states/eV/f.u.
Calculated formation energy   1039 meV per atom
Crystal system   cubic

=====

## KMoSe4 (PBE)

Data for a geometry-optimized KMoSe4 structure.

Geometry as extended XYZ:
```
6
Lattice="-2.842 1.130 5.049 -4.100 -3.755 1.984 1.073 -3.281 4.788" Properties=species:S:1:pos:R:3 pbc="T T T"
K -4.402 -4.430 8.866
Mo 0.000 0.000 0.000
Se -3.626 -1.641 6.965
Se -1.656 -3.862 6.834
Se -4.260 -4.101 5.421
Se -2.196 -2.210 4.422
```

Summary:
ρ   5.1 g/cm3
DOS(E_F)   2.33 states/eV/f.u.
ΔE_f (raw)   0.58 eV/atom
Crystal system   cubic

=====

## TlTeP2 (PBE)

Data for a geometry-optimized TlTeP2 structure.

Geometry as extended XYZ:
```
4
Lattice="3.944 -0.231 0.000 0.318 3.938 0.000 0.000 0.000 6.651" Properties=species:S:1:pos:R:3 pbc="T T T"
P 0.000 0.000 0.582
P 0.000 0.000 2.743
Te 2.131 1.854 1.663
Tl 2.131 1.854 4.988
```

Summary:
ρ   6.3 g/cm3
DOS(E_F)   1.85 states/eV/f.u.
ΔE_f (raw)   0.39 eV/atom
Relative energy among the computed polymorphs   366 meV per atom
Crystal system   orthorhombic

=====

## Hf3ReS (PBE)

Data for a geometry-optimized Hf3ReS structure.

Geometry as extended XYZ:
```
5
Lattice="5.041 0.000 0.000 0.000 5.041 0.000 0.000 0.000 5.041" Properties=species:S:1:pos:R:3 pbc="T T T"
Re 0.000 0.000 0.000
S 2.521 2.521 2.521
Hf 0.000 2.521 0.000
Hf 0.000 0.000 2.521
Hf 2.521 0.000 0.000
```

Summary:
ρ   9.8 g/cm3
DOS(E_F)   5.25 states/eV/f.u.
ΔE_f (raw)   0.63 eV/atom
Relative energy among the computed polymorphs   613 meV per atom
Crystal system   cubic

=====

## Na3Np2HgTe6 (PBE)

Data for a geometry-optimized Na3Np2HgTe6 structure.

Geometry as extended XYZ:
```
12
Lattice="-0.445 -2.498 7.329 6.922 0.747 -3.416 -1.723 7.604 1.115" Properties=species:S:1:pos:R:3 pbc="T T T"
Na 4.865 4.023 -1.115
Na -0.111 1.831 6.143
Na 2.377 2.927 2.514
Np 4.471 -0.333 0.159
Np 2.007 -1.418 3.753
Hg 0.000 0.000 0.000
Te 2.299 3.975 5.627
Te 4.372 0.469 3.139
Te 2.456 1.879 -0.599
Te 4.802 5.078 1.976
Te 0.383 5.384 1.889
Te -0.047 0.776 3.052
```

Summary:
ρ   6.5 g/cm3
DOS(E_F)   16.48 states/eV/f.u.
ΔE_f (raw)   -0.66 eV/atom
Crystal system   monoclinic

=====

## BaAlH2Os (PBE)

Data for a geometry-optimized BaAlH2Os structure.

Geometry as extended XYZ:
```
5
Lattice="-0.618 3.422 -1.951 -4.400 -2.521 -3.027 -2.587 1.136 2.813" Properties=species:S:1:pos:R:3 pbc="T T T"
H -1.293 0.568 1.406
H -0.309 1.711 -0.975
Os -2.200 -1.261 -1.514
Ba 0.000 0.000 0.000
Al -3.803 1.018 -1.083
```

Summary:
ρ   6.3 g/cm3
DOS(E_F)   8.34 states/eV/f.u.
Crystal system   tetragonal

=====

## K2LiTeF (PBE)

Data for a geometry-optimized K2LiTeF structure.

Geometry as extended XYZ:
```
5
Lattice="5.278 0.000 0.000 0.000 5.278 0.000 0.000 0.000 4.672" Properties=species:S:1:pos:R:3 pbc="T T T"
K 0.000 2.639 0.000
K 2.639 0.000 0.000
Te 2.639 2.639 2.336
Li 0.000 0.000 2.336
F 0.000 0.000 0.000
```

Summary:
ρ   3.0 g/cm3
ΔE_f (raw)   -1.59 eV/atom
Crystal system   tetragonal

=====

## TbSmTe2O (PBE)

Data for a geometry-optimized TbSmTe2O structure.

Geometry as extended XYZ:
```
10
Lattice="4.187 0.000 0.000 0.000 4.187 0.000 0.000 0.000 15.873" Properties=species:S:1:pos:R:3 pbc="T T T"
Tb 2.093 0.000 2.103
Tb 0.000 2.093 13.770
Sm 2.093 0.000 9.012
Sm 0.000 2.093 6.860
Te 0.000 2.093 10.897
Te 0.000 2.093 1.326
Te 2.093 0.000 14.546
Te 2.093 0.000 4.976
O 0.000 0.000 7.936
O 2.093 2.093 7.936
```

Summary:
ρ   6.9 g/cm3
DOS(E_F)   1.50 states/eV/f.u.
ΔE_f (raw)   -2.07 eV/atom
Crystal system   tetragonal

=====

## Tc2PBr (PBE)

Data for a geometry-optimized Tc2PBr structure.

Geometry as extended XYZ:
```
4
Lattice="-0.030 2.785 2.166 1.701 -2.320 3.007 5.271 1.646 -2.043" Properties=species:S:1:pos:R:3 pbc="T T T"
Br 1.728 1.224 1.324
P 5.214 0.887 1.806
Tc 4.711 1.321 -1.632
Tc 4.046 -0.011 0.071
```

Summary:
ρ   5.9 g/cm3
DOS(E_F)   1.59 states/eV/f.u.
ΔE_f (raw)   0.14 eV/atom
Relative energy among the computed polymorphs   204 meV per atom
Crystal system   monoclinic

=====

## CoPdPt (PBE)

Data for a geometry-optimized CoPdPt structure.

Geometry as extended XYZ:
```
3
Lattice="-2.343 0.972 -1.030 0.687 -2.620 -0.396 -3.135 -1.662 5.560" Properties=species:S:1:pos:R:3 pbc="T T T"
Co -2.379 -0.780 1.036
Pd -2.363 -2.504 3.010
Pt -0.049 -0.026 0.087
```

Summary:
ρ   14.0 g/cm3
DOS(E_F)   3.87 states/eV/f.u.
Calculated formation energy   -17 meV per atom
Relative energy among the computed polymorphs   55 meV per atom
Crystal system   trigonal

=====

## V2CuRu4 (PBE)

Data for a geometry-optimized V2CuRu4 structure.

Geometry as extended XYZ:
```
7
Lattice="-2.606 -3.161 -1.026 0.584 -1.225 2.290 -5.604 6.374 3.293" Properties=species:S:1:pos:R:3 pbc="T T T"
V -2.113 -1.497 1.285
V -5.514 3.485 3.271
Cu 0.000 0.000 0.000
Ru -1.864 1.178 1.106
Ru -5.763 0.810 3.451
Ru -4.300 0.314 1.265
Ru -3.326 1.674 3.292
```

Summary:
ρ   9.6 g/cm3
DOS(E_F)   7.26 states/eV/f.u.
Calculated formation energy   111 meV per atom
Crystal system   orthorhombic

=====

## Pr2Sn5Au3 (PBE)

Data for a geometry-optimized Pr2Sn5Au3 structure.

Geometry as extended XYZ:
```
20
Lattice="-0.879 0.019 -6.769 -2.601 -8.535 -3.128 -9.168 0.530 -2.250" Properties=species:S:1:pos:R:3 pbc="T T T"
Pr -2.910 -5.316 -3.079
Pr -6.660 -0.736 -6.020
Pr -9.737 -2.670 -9.068
Pr -5.987 -7.250 -6.126
Sn -9.925 -1.606 -5.599
Sn -5.602 -8.169 -9.621
Sn -2.723 -6.380 -6.548
Sn -7.045 0.183 -2.526
Sn -9.255 -5.986 -7.419
Sn -3.392 -2.000 -4.728
Sn -6.543 -3.988 -7.766
Sn -6.104 -3.998 -4.381
Sn -3.832 -1.990 -8.112
Sn -8.816 -5.996 -4.035
Au -8.569 -3.841 -5.782
Au -7.302 -6.187 -9.394
Au -4.079 -4.145 -6.365
Au -5.346 -1.799 -2.753
Au -0.220 0.005 -1.692
Au -0.659 0.015 -5.077
```

Summary:
ρ   9.3 g/cm3
DOS(E_F)   4.38 states/eV/f.u.
Calculated formation energy   -425 meV per atom
Relative energy among the computed polymorphs   88 meV per atom
Crystal system   orthorhombic

=====

The calculation returns the following raw total energy values, one per record and in order: -2.13 -5.46 -9.19 -4.72 -4.10 -4.98 -8.35 -1.74 -3.84 -3.73 -3.69 -8.66 -4.74 -3.51 -3.41 -6.18 -6.81 -6.13 -8.38 -4.37 eV per atom.